Arrangement a

VASP calculation (GGA-PBE) on crystalline LiHfPd2Pb at its relaxed geometry.

Properties
Symmetry: P4/mmm
Size of the total moment: 0.00 μB per formula unit

The structure in extended XYZ format:
```
5
Lattice="4.8799 0.0000 0.0000 0.0000 5.2790 0.0000 0.0000 0.0000 4.8799" Properties=species:S:1:pos:R:3 pbc="T T T"
Pd 2.4399 0.0000 0.0000
Pd 0.0000 0.0000 2.4399
Pb 2.4399 2.6395 2.4399
Li 0.0000 2.6395 0.0000
Hf 0.0000 0.0000 0.0000
```

=====

Arrangement b

VASP calculation (GGA-PBE) on crystalline LiHfPd2Pb at its relaxed geometry.

Properties
Symmetry: P4/mmm
Size of the total moment: 0.00 μB per formula unit

The structure in extended XYZ format:
```
5
Lattice="-1.7211 0.0747 -4.6409 -4.5677 -2.8869 1.6475 -2.3499 4.2544 0.9399" Properties=species:S:1:pos:R:3 pbc="T T T"
Li -4.3193 0.7211 -1.0268
Pd -1.1750 2.1272 0.4700
Hf 0.0000 0.0000 0.0000
Pd -0.8605 0.0373 -2.3204
Pb -2.2839 -1.4435 0.8237
```

=====

Tell me which of them is the least stable. Sure, it is arrangement a.

=====

Arrangement a

VASP calculation (GGA-PBE) on crystalline LiHf2Pd4 at its relaxed geometry.

Properties
Symmetry: P-1
Size of the total moment: 0.00 μB per formula unit

The structure in extended XYZ format:
```
14
Lattice="6.9945 -0.2092 1.1630 -0.7119 7.0050 -1.1681 -2.0537 -4.4174 5.2060" Properties=species:S:1:pos:R:3 pbc="T T T"
Pd 1.4850 -0.9560 1.6480
Pd 3.8766 -3.2041 4.7224
Pd 1.4831 3.0382 1.0350
Pd 5.6994 -0.2549 2.1457
Li -0.6473 2.0849 2.0196
Hf 2.5642 -0.8169 4.1932
Hf -0.9330 -0.7123 3.6119
Li -1.2185 -3.5096 5.2040
Pd 0.8519 -2.7133 4.1620
Pd 4.2765 1.0795 4.2245
Pd 1.2518 1.5703 3.6644
Hf 3.5912 1.3917 1.5902
Hf 3.2352 4.8942 1.0064
Pd 5.6975 3.7394 1.5324
```

=====

Arrangement b

VASP calculation (GGA-PBE) on crystalline LiHf2Pd4 at its relaxed geometry.

Properties
Symmetry: I4/mmm
Size of the total moment: 0.00 μB per formula unit

The structure in extended XYZ format:
```
7
Lattice="4.1699 0.0000 0.0000 0.0000 4.1699 0.0000 2.0849 2.0849 6.9747" Properties=species:S:1:pos:R:3 pbc="T T T"
Li 0.0000 0.0000 0.0000
Hf 4.1699 4.1699 4.8761
Hf 2.0850 2.0850 2.0985
Pd 2.0849 0.0000 0.0000
Pd 2.0850 2.0850 4.6930
Pd 4.1699 4.1699 2.2816
Pd 0.0000 2.0849 0.0000
```

=====

Tell me which of them is the least stable. Sure, it is arrangement b.

=====

Arrangement a

VASP calculation (GGA-PBE) on crystalline LiHf3Pd4 at its relaxed geometry.

Properties
Symmetry: Imm2
Size of the total moment: 0.00 μB per formula unit

The structure in extended XYZ format:
```
8
Lattice="-1.1160 0.1128 -5.8711 1.9403 -4.5479 3.3586 -5.5239 0.7592 2.1536" Properties=species:S:1:pos:R:3 pbc="T T T"
Hf -4.7500 -0.3406 -0.9572
Hf -1.1870 -3.1729 -0.0945
Hf -6.1687 0.8101 -3.4537
Pd -0.9821 -3.1331 -2.7920
Pd -4.2385 -2.3180 2.7013
Pd -2.9849 -0.9927 0.7731
Li -1.8214 -1.8905 2.7395
Pd -1.4007 -0.8809 -1.5161
```

=====

Arrangement b

VASP calculation (GGA-PBE) on crystalline LiHf3Pd4 at its relaxed geometry.

Properties
Symmetry: R-3m
Size of the total moment: 0.00 μB per formula unit

The structure in extended XYZ format:
```
8
Lattice="-3.8486 2.3219 1.1509 -2.3569 -1.1657 3.8229 2.0930 5.2729 5.7139" Properties=species:S:1:pos:R:3 pbc="T T T"
Li 0.0000 0.0000 0.0000
Pd -3.5715 1.4350 3.8670
Pd 0.4309 3.3208 4.0939
Hf -1.1093 1.5119 2.5928
Pd -4.5433 3.1083 6.5938
Pd -0.5409 4.9941 6.8207
Hf -2.0562 3.2145 5.3438
Hf -3.0031 4.9172 8.0949
```

=====

Tell me which of them is the least stable. Sure, it is arrangement a.

=====

Arrangement a

VASP calculation (GGA-PBE) on crystalline Li3HfPd6 at its relaxed geometry.

Properties
Symmetry: P2_1/m
Size of the total moment: 0.00 μB per formula unit

The structure in extended XYZ format:
```
20
Lattice="-0.9293 -0.2301 -4.4335 5.6421 -8.1616 -0.7591 -9.1976 1.5993 1.8449" Properties=species:S:1:pos:R:3 pbc="T T T"
Li -0.3699 -1.6011 -3.3196
Pd -1.3994 -1.2898 -0.7998
Hf -6.7992 0.8344 -2.0983
Pd -4.6750 -0.9309 -2.4520
Pd -7.3388 -1.8430 -1.8463
Pd -7.9671 1.1267 0.4515
Pd 2.8540 -4.9493 -1.5015
Li -0.7091 -4.3805 -3.1043
Pd 0.1902 -5.8614 -0.8958
Li -4.1149 -5.1912 -0.0282
Pd 1.2968 -6.1526 -3.4328
Li -5.2846 -3.6541 -2.1829
Pd -1.8364 -4.0775 -0.5636
Li 0.7998 -3.1382 -1.1649
Hf 2.3144 -7.6268 -1.2494
Li -3.7757 -2.4118 -0.2435
Pd 3.4823 -7.9190 -3.7992
Pd -5.7816 -0.6397 0.0850
Pd -2.6484 -2.7148 -2.7842
Pd -3.0854 -5.5025 -2.5479
```

=====

Arrangement b

VASP calculation (GGA-PBE) on crystalline Li3HfPd6 at its relaxed geometry.

Properties
Symmetry: P2_1/m
Size of the total moment: 0.00 μB per formula unit

The structure in extended XYZ format:
```
20
Lattice="4.1944 0.0000 0.0000 0.0000 7.8428 -0.8731 0.0000 -0.6587 9.1005" Properties=species:S:1:pos:R:3 pbc="T T T"
Pd 3.1458 3.6122 7.6873
Li 3.1458 1.9591 -0.0072
Hf 3.1458 0.2902 3.3901
Pd 3.1458 0.8087 6.2859
Pd 1.0486 3.5719 0.5402
Pd 1.0486 1.1136 1.7999
Li 1.0486 5.2250 8.2346
Pd 1.0486 1.7034 4.5071
Pd 3.1458 6.0705 6.4276
Pd 1.0486 -0.1092 8.2245
Li 3.1458 3.1522 5.0907
Li 1.0486 2.1965 7.1562
Pd 3.1458 7.2933 0.0030
Li 3.1458 4.9876 1.0713
Li 1.0486 4.0319 3.1368
Pd 1.0486 6.3754 1.9416
Pd 3.1458 2.8142 2.4930
Pd 1.0486 4.3699 5.7345
Pd 3.1458 5.4806 3.7204
Hf 1.0486 6.8938 4.8374
```

=====

Tell me which of them is the least stable. Sure, it is arrangement a.

=====

Arrangement a

VASP calculation (GGA-PBE) on crystalline Li2HfPd4 at its relaxed geometry.

Properties
Symmetry: P1
Size of the total moment: 0.00 μB per formula unit

The structure in extended XYZ format:
```
14
Lattice="-6.6145 1.3204 -1.3591 0.5951 -3.2393 -4.5300 2.2890 -3.2167 7.0217" Properties=species:S:1:pos:R:3 pbc="T T T"
Pd -0.5154 -4.6633 2.3309
Pd -2.6493 -1.1786 3.3622
Pd -0.9588 -3.1806 -3.4138
Pd 2.0759 -5.1035 1.2470
Li -3.7621 -1.0589 -0.1038
Li 1.6880 -3.7160 3.6659
Li -2.1936 -2.6427 1.2628
Pd -0.8120 -3.0562 4.6083
Pd 0.2299 -1.9622 2.1196
Li -3.4835 -2.6225 -2.4406
Hf 0.2235 -3.6866 -0.1217
Pd -1.3047 -1.6262 -1.0680
Pd -5.3048 -0.9155 -3.5087
Hf -5.6775 0.8916 -1.3706
```

=====

Arrangement b

VASP calculation (GGA-PBE) on crystalline Li2HfPd4 at its relaxed geometry.

Properties
Symmetry: I4/mmm
Size of the total moment: 0.00 μB per formula unit

The structure in extended XYZ format:
```
7
Lattice="-4.9474 -0.7101 -1.7570 2.9389 -4.0840 -1.6589 -0.1616 0.3369 5.2848" Properties=species:S:1:pos:R:3 pbc="T T T"
Pd -0.0808 0.1684 2.6424
Hf 0.0000 0.0000 0.0000
Li -1.0043 -2.3971 -1.7080
Pd -1.0850 -2.2286 0.9344
Pd 1.4695 -2.0420 -0.8295
Pd -2.4737 -0.3550 -0.8785
Li -2.5545 -0.1866 1.7639
```

=====

Tell me which of them is the least stable. Sure, it is arrangement b.

=====

Arrangement a

VASP calculation (GGA-PBE) on crystalline Li2HfPd at its relaxed geometry.

Properties
Symmetry: I-42d
Size of the total moment: 0.00 μB per formula unit

The structure in extended XYZ format:
```
8
Lattice="-1.1990 6.8224 -2.2522 -4.3494 1.1282 5.7329 -0.7076 4.8024 3.1455" Properties=species:S:1:pos:R:3 pbc="T T T"
Hf -2.3404 7.8001 1.3168
Hf 0.0000 0.0000 0.0000
Li -3.0951 3.0431 3.9939
Li -2.7927 6.6303 3.9034
Pd -2.7742 3.9753 1.7403
Li -1.4199 5.3211 0.1893
Pd -3.9156 4.9529 5.3093
Li -5.2041 10.5115 5.1655
```

=====

Arrangement b

VASP calculation (GGA-PBE) on crystalline Li2HfPd at its relaxed geometry.

Properties
Symmetry: Fm-3m
Size of the total moment: 0.00 μB per formula unit

The structure in extended XYZ format:
```
4
Lattice="0.0000 3.1165 3.1165 3.1165 0.0000 3.1165 3.1165 3.1165 0.0000" Properties=species:S:1:pos:R:3 pbc="T T T"
Hf 3.1165 3.1165 3.1165
Pd 0.0000 0.0000 0.0000
Li 1.5582 1.5582 1.5582
Li 4.6747 4.6747 4.6747
```

=====

Tell me which of them is the least stable. Sure, it is arrangement a.

=====

Arrangement a

VASP calculation (GGA-PBE) on crystalline LiHfPdRh at its relaxed geometry.

Properties
Symmetry: P4mm
Size of the total moment: 0.00 μB per formula unit

The structure in extended XYZ format:
```
4
Lattice="-2.9530 -0.2848 -1.3461 -0.0777 -3.1477 0.8364 -2.4863 1.4302 5.1518" Properties=species:S:1:pos:R:3 pbc="T T T"
Rh -1.7732 -1.5679 0.2795
Li -2.1276 1.2239 4.4087
Hf -0.8619 0.4958 1.7859
Pd -3.0614 -0.8269 2.9488
```

=====

Arrangement b

VASP calculation (GGA-PBE) on crystalline LiHfPdRh at its relaxed geometry.

Properties
Symmetry: F-43m
Size of the total moment: 0.00 μB per formula unit

The structure in extended XYZ format:
```
4
Lattice="-1.8391 -3.8987 -1.1267 1.8458 -2.4922 -3.1990 2.0472 -3.8153 1.0508" Properties=species:S:1:pos:R:3 pbc="T T T"
Rh 0.5135 -2.5515 -0.8187
Pd 1.5404 -7.6546 -2.4562
Hf 1.0269 -5.1030 -1.6374
Li 0.0000 0.0000 0.0000
```

=====

Tell me which of them is the least stable. Sure, it is arrangement b.

=====

Arrangement a

VASP calculation (GGA-PBE) on crystalline LiHfPt3 at its relaxed geometry.

Properties
Symmetry: Pm-3m
Size of the total moment: 0.00 μB per formula unit

The structure in extended XYZ format:
```
5
Lattice="4.2813 0.0000 0.0000 0.0000 4.2813 0.0000 0.0000 0.0000 4.2813" Properties=species:S:1:pos:R:3 pbc="T T T"
Pt 2.1407 0.0000 0.0000
Pt 0.0000 2.1407 0.0000
Li 0.0000 0.0000 0.0000
Pt 0.0000 0.0000 2.1407
Hf 2.1407 2.1407 2.1407
```

=====

Arrangement b

VASP calculation (GGA-PBE) on crystalline LiHfPt3 at its relaxed geometry.

Properties
Symmetry: Cmcm
Size of the total moment: 0.00 μB per formula unit

The structure in extended XYZ format:
```
10
Lattice="4.6845 0.0000 0.0000 0.0000 6.2354 0.0090 0.0000 -3.1083 5.4055" Properties=species:S:1:pos:R:3 pbc="T T T"
Pt 3.5134 1.3598 4.3861
Pt 1.1711 3.1196 3.3697
Pt 3.5134 -1.3413 4.3849
Li 2.3423 0.0000 0.0000
Pt 3.5134 0.0075 2.0447
Pt 1.1711 1.7673 1.0283
Hf 3.5134 3.1207 1.8079
Hf 1.1711 0.0064 3.6065
Li 0.0000 0.0000 0.0000
Pt 1.1711 4.4684 1.0295
```

=====

Arrangement c

VASP calculation (GGA-PBE) on crystalline LiHfPt3 at its relaxed geometry.

Properties
Symmetry: Pm-3m
Size of the total moment: 0.00 μB per formula unit

The structure in extended XYZ format:
```
5
Lattice="-0.6398 -1.0384 -4.8206 -0.5889 -4.8102 1.1143 -4.8959 0.7142 0.4959" Properties=species:S:1:pos:R:3 pbc="T T T"
Li -3.0623 -2.5672 -1.6052
Pt -0.2944 -2.4051 0.5572
Pt -0.3199 -0.5192 -2.4103
Pt -2.4480 0.3571 0.2480
Hf 0.0000 0.0000 0.0000
```

=====

Arrangement d

VASP calculation (GGA-PBE) on crystalline LiHfPt3 at its relaxed geometry.

Properties
Symmetry: P2_1/m
Size of the total moment: 0.00 μB per formula unit

The structure in extended XYZ format:
```
10
Lattice="-0.7970 2.6440 4.4120 3.5913 -5.3467 3.8529 3.0252 2.9659 -1.2310" Properties=species:S:1:pos:R:3 pbc="T T T"
Pt 2.2682 -1.2123 2.6713
Pt 4.2868 -2.7345 3.9482
Li 1.0343 0.7494 4.3429
Hf 3.1809 -0.8705 5.7016
Pt 1.5327 2.9977 3.0857
Li 4.7853 -0.4862 2.6908
Pt 6.2179 -1.0586 4.8279
Pt 3.5514 1.4756 4.3626
Pt 0.0002 0.0000 0.0001
Hf 2.6387 1.1337 1.3323
```

=====

Tell me which of them is the least stable. Sure, it is arrangement c.

=====

Arrangement a

VASP calculation (GGA-PBE) on crystalline Li2HfPt2 at its relaxed geometry.

Properties
Symmetry: P4/mbm
Size of the total moment: 0.00 μB per formula unit

The structure in extended XYZ format:
```
10
Lattice="-3.9317 -3.4900 -5.1670 -0.8548 -5.7491 4.5336 -2.4050 1.1749 1.0364" Properties=species:S:1:pos:R:3 pbc="T T T"
Li -2.2080 -3.4031 2.7085
Hf 0.0000 0.0000 0.0000
Li -2.7967 -1.4304 -0.8935
Li -4.9834 -4.6611 -2.3055
Pt -3.8172 -6.7624 -1.1919
Li -4.3948 -6.6338 1.2965
Pt -1.9777 -5.8670 2.0616
Pt -0.9692 -2.4767 0.5585
Pt -2.8088 -3.3721 -2.6950
Hf -2.3932 -4.6195 -0.3167
```

=====

Arrangement b

VASP calculation (GGA-PBE) on crystalline Li2HfPt2 at its relaxed geometry.

Properties
Symmetry: C2/m
Size of the total moment: 0.00 μB per formula unit

The structure in extended XYZ format:
```
5
Lattice="6.3506 -0.3095 2.8278 2.2873 3.1834 1.9330 1.0980 -0.3202 4.2180" Properties=species:S:1:pos:R:3 pbc="T T T"
Li 5.8845 1.5046 5.3669
Pt 1.9907 0.4882 1.7841
Pt 7.7452 2.0656 7.1947
Hf 0.0000 0.0000 0.0000
Li 3.8514 1.0492 3.6119
```

=====

Arrangement c

VASP calculation (GGA-PBE) on crystalline Li2HfPt2 at its relaxed geometry.

Properties
Symmetry: I4/mmm
Size of the total moment: 0.00 μB per formula unit

The structure in extended XYZ format:
```
5
Lattice="-0.8676 2.0698 -2.6311 1.9574 -1.8913 -2.1333 -4.8286 -3.9164 -3.7614" Properties=species:S:1:pos:R:3 pbc="T T T"
Li -1.1632 -2.8592 -4.1384
Li -2.5757 -0.8787 -4.3873
Pt -3.1951 -3.0156 -5.8641
Pt -0.5438 -0.7223 -2.6616
Hf 0.0000 0.0000 0.0000
```

=====

Arrangement d

VASP calculation (GGA-PBE) on crystalline Li2HfPt2 at its relaxed geometry.

Properties
Symmetry: P4/mbm
Size of the total moment: 0.00 μB per formula unit

The structure in extended XYZ format:
```
10
Lattice="7.1184 0.0000 0.0000 0.0000 7.1184 0.0000 0.0000 0.0000 2.9003" Properties=species:S:1:pos:R:3 pbc="T T T"
Pt 5.7434 2.1842 1.4502
Pt 4.9342 5.7434 1.4502
Li 4.3134 0.7542 0.0000
Pt 2.1842 1.3750 1.4502
Li 6.3642 4.3134 0.0000
Li 0.7542 2.8050 0.0000
Pt 1.3750 4.9342 1.4502
Hf 0.0000 0.0000 0.0000
Li 2.8050 6.3642 0.0000
Hf 3.5592 3.5592 0.0000
```

=====

Tell me which of them is the least stable. Sure, it is arrangement a.

=====

Arrangement a

VASP calculation (GGA-PBE) on crystalline LiHf2Pt6 at its relaxed geometry.

Properties
Symmetry: Immm
Size of the total moment: 0.00 μB per formula unit

The structure in extended XYZ format:
```
9
Lattice="-0.8471 2.3376 -2.9246 -0.8858 -5.5606 -4.1881 -5.0274 1.3981 5.0862" Properties=species:S:1:pos:R:3 pbc="T T T"
Pt -6.1389 -1.7533 0.3701
Pt -4.6152 -0.4930 -1.5806
Li 0.0000 0.0000 0.0000
Hf -4.1220 -0.1497 1.0708
Pt -0.6213 -0.0716 -2.3965
Pt -4.1315 2.5443 0.7071
Pt -2.6288 -4.3693 -2.7335
Hf -2.6383 -1.6752 -3.0972
Pt -2.1451 -1.3319 -0.4458
```

=====

Arrangement b

VASP calculation (GGA-PBE) on crystalline LiHf2Pt6 at its relaxed geometry.

Properties
Symmetry: P-62m
Size of the total moment: 0.00 μB per formula unit

The structure in extended XYZ format:
```
9
Lattice="-1.7952 2.2249 0.6072 -5.9677 -4.2681 -2.0045 2.4303 -0.0059 7.2071" Properties=species:S:1:pos:R:3 pbc="T T T"
Hf -3.1682 -2.8472 1.0661
Pt -5.2679 -4.2697 0.0704
Li -0.8978 1.1122 0.3039
Pt 0.7122 -1.2346 6.6298
Pt -2.5192 -3.0437 3.7050
Hf -0.3691 -1.4266 4.1363
Pt -2.1823 -0.4397 2.1930
Pt -5.3175 -3.1592 2.8885
Pt -2.2675 -1.6113 6.2339
```

=====

Tell me which of them is the least stable. Sure, it is arrangement a.